Density functional theory data (PBE with a Hubbard U) for crystalline SrWO2 at its relaxed geometry.

Cell lengths 6.438, 3.628, 7.128 Å; angles 90.00, 113.03, 90.00 degrees
Each line ends with the local moment (μB).
Fractional positions:
Sr  0.480  0.250  0.237  0.00
Sr  0.520  0.750  0.763  0.00
W  0.002  0.250  0.635  0.13
W  0.998  0.750  0.365  0.13
O  0.292  0.250  0.856  0.00
O  0.708  0.750  0.144  0.00
O  0.723  0.250  0.669  0.01
O  0.277  0.750  0.331  0.01

Calculated values
final energy: -6.511 eV/atom
ΔE to the lowest computed polymorph: 0.09 eV per formula unit
SG: P2_1/m, No. 11